Tb2YIr | PBE | relaxed

a = 7.252 Å, b = 9.389 Å, c = 6.378 Å
α = 90.00°, β = 90.00°, γ = 90.00°
Sites, in units of the cell vectors:
1 Tb 0.177 0.063 0.173
2 Tb 0.177 0.437 0.173
3 Tb 0.323 0.563 0.673
4 Tb 0.323 0.937 0.673
5 Tb 0.677 0.063 0.327
6 Tb 0.677 0.437 0.327
7 Tb 0.823 0.563 0.827
8 Tb 0.823 0.937 0.827
9 Y 0.034 0.250 0.632
10 Y 0.466 0.750 0.132
11 Y 0.534 0.250 0.868
12 Y 0.966 0.750 0.368
13 Ir 0.117 0.750 0.949
14 Ir 0.383 0.250 0.449
15 Ir 0.617 0.750 0.551
16 Ir 0.883 0.250 0.051

Summary:
* energy relative to the lowest polymorph listed for this composition: 0 meV/atom

Tb4Y3Ir4 | PBE | relaxed

a = 9.298 Å, b = 9.298 Å, c = 9.298 Å
α = 156.10°, β = 124.37°, γ = 61.39°
Sites, in units of the cell vectors:
1 Tb 0.024 0.834 0.190
2 Tb 0.357 0.166 0.190
3 Tb 0.643 0.834 0.810
4 Tb 0.976 0.166 0.810
5 Y 0.000 0.500 0.500
6 Y 0.400 0.400 0.000
7 Y 0.600 0.600 0.000
8 Ir 0.249 0.749 0.500
9 Ir 0.287 0.000 0.287
10 Ir 0.713 0.000 0.713
11 Ir 0.751 0.251 0.500

TbY3Ir8 | PBE | relaxed

a = 9.291 Å, b = 9.291 Å, c = 9.291 Å
α = 33.59°, β = 33.59°, γ = 33.59°
Sites, in units of the cell vectors:
1 Tb 0.000 0.000 0.000
2 Y 0.125 0.125 0.125
3 Y 0.500 0.500 0.500
4 Y 0.625 0.625 0.625
5 Ir 0.062 0.062 0.562
6 Ir 0.062 0.562 0.062
7 Ir 0.062 0.562 0.562
8 Ir 0.312 0.312 0.312
9 Ir 0.562 0.062 0.062
10 Ir 0.562 0.062 0.562
11 Ir 0.562 0.562 0.062
12 Ir 0.812 0.812 0.812

Tb2Y3Ir2 | PBE | relaxed

a = 12.139 Å, b = 3.829 Å, c = 8.920 Å
α = 90.00°, β = 115.96°, γ = 90.00°
Sites, in units of the cell vectors:
1 Tb 0.169 0.000 0.308
2 Tb 0.331 0.500 0.692
3 Tb 0.669 0.500 0.308
4 Tb 0.831 0.000 0.692
5 Y 0.000 0.500 0.500
6 Y 0.118 0.500 0.930
7 Y 0.382 0.000 0.070
8 Y 0.500 0.000 0.500
9 Y 0.618 0.000 0.930
10 Y 0.882 0.500 0.070
11 Ir 0.178 0.000 0.737
12 Ir 0.322 0.500 0.263
13 Ir 0.678 0.500 0.737
14 Ir 0.822 0.000 0.263

TbY8Ir6 | PBE | relaxed

a = 7.688 Å, b = 7.688 Å, c = 7.688 Å
α = 65.36°, β = 65.36°, γ = 65.36°
Sites, in units of the cell vectors:
1 Tb 0.000 0.000 0.000
2 Y 0.111 0.778 0.447
3 Y 0.222 0.553 0.889
4 Y 0.334 0.334 0.334
5 Y 0.447 0.111 0.778
6 Y 0.553 0.889 0.222
7 Y 0.666 0.666 0.666
8 Y 0.778 0.447 0.111
9 Y 0.889 0.222 0.553
10 Ir 0.057 0.389 0.724
11 Ir 0.276 0.943 0.611
12 Ir 0.389 0.724 0.057
13 Ir 0.611 0.276 0.943
14 Ir 0.724 0.057 0.389
15 Ir 0.943 0.611 0.276

TbY3Ir8 | PBE | relaxed

a = 5.368 Å, b = 5.368 Å, c = 8.731 Å
α = 90.00°, β = 90.00°, γ = 120.00°
Sites, in units of the cell vectors:
1 Tb 0.000 0.000 0.000
2 Y 0.000 0.000 0.366
3 Y 0.667 0.333 0.500
4 Y 0.667 0.333 0.866
5 Ir 0.164 0.327 0.683
6 Ir 0.164 0.836 0.683
7 Ir 0.333 0.667 0.433
8 Ir 0.333 0.667 0.933
9 Ir 0.503 0.006 0.183
10 Ir 0.503 0.497 0.183
11 Ir 0.673 0.836 0.683
12 Ir 0.994 0.497 0.183

Formation enthalpy at 0 K per entry: -0.564 -0.645 -0.800 -0.606 -0.755 -0.798 eV per atom
Calculated volume per entry: 434 267 219 373 359 218 Å³/cell